A plane-wave DFT calculation with PBE was carried out for a relaxed structure of CaMn2Br.

## Properties
formation energy (no corrections): 0.046 eV per atom
excess energy over the best structure of this formula in the dataset: 7.8 meV per atom
space group: Cm (8)

```
data_CaMn2Br
_chemical_formula_sum 'Ca1 Mn2 Br1'
_cell_length_a 4.0302
_cell_length_b 4.0302
_cell_length_c 7.7848
_cell_angle_alpha 111.49
_cell_angle_beta 111.49
_cell_angle_gamma 52.50
_symmetry_space_group_name_H-M 'P 1'
_symmetry_Int_Tables_number 1
loop_
_symmetry_equiv_pos_as_xyz
'x,y,z'
loop_
_atom_site_label
_atom_site_fract_x
_atom_site_fract_y
_atom_site_fract_z
Ca1 0.0000 0.0000 0.0000
Mn1 0.5513 0.5513 0.3961
Mn2 0.8196 0.8196 0.2904
Br1 0.1851 0.1851 0.7127
```